{
  "formula": "MgSn2Te2",
  "functional": "PBE-GGA",
  "state": "optimized geometry",
  "e_above_lowest_polymorph_mev_per_atom": 51.2,
  "formation_energy_uncorrected_kj_per_mol_atoms": -5.7,
  "lattice": [[8.2921, 0.0000, 0.0000], [0.0000, 8.2921, 0.0000], [0.0000, 0.0000, 4.3396]],
  "species": ["Sn", "Sn", "Sn", "Sn", "Te", "Te", "Te", "Te", "Mg", "Mg"],
  "frac_coords": [[0.8581, 0.6419, 0.0000], [0.6419, 0.1419, 0.0000], [0.3581, 0.8581, 0.0000], [0.1419, 0.3581, 0.0000], [0.3321, 0.1679, 0.5000], [0.8321, 0.3321, 0.5000], [0.1679, 0.6679, 0.5000], [0.6679, 0.8321, 0.5000], [0.0000, 0.0000, 0.0000], [0.5000, 0.5000, 0.0000]]
}



{
  "formula": "Cd6Cu7",
  "functional": "PBE-GGA",
  "state": "optimized geometry",
  "delta_e_f_mev_per_atom": 23.3,
  "lattice": [[9.4890, -0.0859, -0.0521], [8.1111, 4.9254, -0.0521], [8.1111, 2.2303, 4.3918]],
  "species": ["Cd", "Cd", "Cd", "Cd", "Cd", "Cd", "Cu", "Cu", "Cu", "Cu", "Cu", "Cu", "Cu"],
  "frac_coords": [[0.0519, 0.0519, 0.0519], [0.1562, 0.1562, 0.1562], [0.3331, 0.3331, 0.3331], [0.8438, 0.8438, 0.8438], [0.9481, 0.9481, 0.9481], [0.6669, 0.6669, 0.6669], [0.5903, 0.5903, 0.0911], [0.0911, 0.5903, 0.5903], [0.4097, 0.4097, 0.9089], [0.4097, 0.9089, 0.4097], [0.5000, 0.5000, 0.5000], [0.5903, 0.0911, 0.5903], [0.9089, 0.4097, 0.4097]]
}



{
  "formula": "Cs3KAu",
  "functional": "PBE-GGA",
  "state": "optimized geometry",
  "delta_e_f_mev_per_atom": -136.4,
  "e_above_lowest_polymorph_mev_per_atom": 1.4,
  "lattice": [[-1.3436, 7.1668, -0.4453], [-9.2344, 2.5649, 9.6955], [7.2317, -2.0694, 4.8308]],
  "species": ["Cs", "Cs", "Cs", "Cs", "Cs", "Cs", "Au", "Au", "K", "K"],
  "frac_coords": [[0.0073, 0.3995, 0.9492], [0.2666, 0.0089, 0.0788], [0.5152, 0.1395, 0.7062], [0.0164, 0.8998, 0.4719], [0.7698, 0.2767, 0.3504], [0.5127, 0.6531, 0.2168], [0.5186, 0.8911, 0.4679], [0.0153, 0.1514, 0.7182], [0.2636, 0.5344, 0.5973], [0.7508, 0.7664, 0.8082]]
}



{
  "formula": "Pm3ScH",
  "functional": "PBE-GGA",
  "state": "optimized geometry",
  "e_tot_ev_per_atom": -4.93,
  "lattice": [[5.0246, 0.0000, 0.0000], [0.0000, 5.0246, 0.0000], [0.0000, 0.0000, 5.0246]],
  "species": ["Pm", "Pm", "Pm", "Sc", "H"],
  "frac_coords": [[0.0000, 0.5000, 0.0000], [0.0000, 0.0000, 0.5000], [0.5000, 0.0000, 0.0000], [0.5000, 0.5000, 0.5000], [0.0000, 0.0000, 0.0000]]
}



{
  "formula": "LiCe2PaS5",
  "functional": "PBE-GGA",
  "state": "optimized geometry",
  "formation_energy_uncorrected_kj_per_mol_atoms": -169.2,
  "lattice": [[3.9555, 0.0000, 0.0000], [-1.9777, 8.2523, 0.0000], [0.0000, 0.0000, 11.9193]],
  "species": ["Li", "Li", "S", "S", "S", "S", "S", "S", "S", "S", "S", "S", "Pa", "Pa", "Ce", "Ce", "Ce", "Ce"],
  "frac_coords": [[0.4822, 0.9643, 0.4709], [0.5178, 0.0357, 0.9709], [0.7108, 0.4215, 0.1648], [0.2892, 0.5785, 0.6648], [0.9511, 0.9021, 0.5646], [0.0489, 0.0979, 0.0646], [0.6877, 0.3754, 0.8495], [0.4970, 0.9940, 0.7761], [0.3651, 0.7303, 0.0008], [0.5030, 0.0060, 0.2761], [0.6349, 0.2697, 0.5008], [0.3123, 0.6246, 0.3495], [0.2011, 0.4021, 0.0069], [0.7989, 0.5979, 0.5069], [0.1092, 0.2183, 0.6880], [0.1275, 0.2549, 0.3023], [0.8725, 0.7451, 0.8023], [0.8908, 0.7817, 0.1880]]
}



{
  "formula": "CaPt2Rh",
  "functional": "PBE-GGA",
  "state": "optimized geometry",
  "delta_e_f_mev_per_atom": -286.1,
  "lattice": [[5.0744, 0.0015, 0.0136], [4.2452, 2.7799, 0.0136], [0.8764, 0.2616, 4.8441]],
  "species": ["Pt", "Pt", "Ca", "Rh"],
  "frac_coords": [[0.4919, 0.4919, 0.5151], [0.0081, 0.0081, 0.9849], [0.2500, 0.2500, 0.2500], [0.7500, 0.7500, 0.7500]]
}